The following is a DFT calculation (PBE-GGA) of TbSmPd after structural relaxation.

Results
VASP energy: -63.33 eV/cell
Magnetic moment: 0.000 μB/atom
Energy relative to the elements: -0.430 eV per atom

CIF file:
```
data_TbSmPd
_chemical_formula_sum 'Tb4 Sm4 Pd4'
_cell_length_a 6.998
_cell_length_b 6.998
_cell_length_c 6.998
_cell_angle_alpha 90.00
_cell_angle_beta 90.00
_cell_angle_gamma 90.00
_symmetry_space_group_name_H-M 'F -4 3 m'
_symmetry_Int_Tables_number 216
_symmetry_space_group_name_Hall 'F -4 2 3'
loop_
_atom_site_label
_atom_site_fract_x
_atom_site_fract_y
_atom_site_fract_z
_atom_site_occupancy
Tb1 0.000 0.000 0.000 1
Sm1 0.000 0.000 0.500 1
Pd1 0.250 0.250 0.750 1
```